(1)
Compound: ZrCrTeI2
Source: the Alexandria database
Functional: GGA-PBE
Structure: relaxed

Values from the calculation:
**Mass density**: 5.61 g/cm³
**Total DFT energy (no corrections)**: -4.4609 eV per atom
**Energy relative to the elements, uncorrected**: 0.42 eV/atom

Geometry as CIF:
```
data_ZrCrTeI2
_chemical_formula_sum 'Zr1 Cr1 Te1 I2'
_space_group_name_H-M_alt 'P 4/m m m'
_space_group_IT_number 123
_space_group_name_Hall '-P 4 2'
_cell_length_a 5.330
_cell_length_b 5.330
_cell_length_c 5.465
_cell_angle_alpha 90.00
_cell_angle_beta 90.00
_cell_angle_gamma 90.00
loop_
_atom_site_label
_atom_site_type_symbol
_atom_site_fract_x
_atom_site_fract_y
_atom_site_fract_z
_atom_site_occupancy
Zr1 Zr 0.000 0.000 0.000 1
Cr1 Cr 0.500 0.500 0.500 1
Te1 Te 0.500 0.500 0.000 1
I1 I 0.000 0.500 0.500 1
```

(2)
Compound: ZrCrTe2I
Source: the Alexandria database
Functional: GGA-PBE
Structure: relaxed

Values from the calculation:
**Mass density**: 4.81 g/cm³
**Total DFT energy (no corrections)**: -5.0333 eV per atom
**Energy relative to the elements, uncorrected**: 0.17 eV/atom

Geometry as CIF:
```
data_ZrCrTe2I
_chemical_formula_sum 'Zr1 Cr1 Te2 I1'
_space_group_name_H-M_alt 'P 4/m m m'
_space_group_IT_number 123
_space_group_name_Hall '-P 4 2'
_cell_length_a 5.623
_cell_length_b 5.623
_cell_length_c 5.734
_cell_angle_alpha 90.00
_cell_angle_beta 90.00
_cell_angle_gamma 90.00
loop_
_atom_site_label
_atom_site_type_symbol
_atom_site_fract_x
_atom_site_fract_y
_atom_site_fract_z
_atom_site_occupancy
Zr1 Zr 0.000 0.000 0.000 1
Cr1 Cr 0.500 0.500 0.500 1
Te1 Te 0.000 0.500 0.000 1
I1 I 0.000 0.000 0.500 1
```

(3)
Compound: ZrCrTeI2
Source: the Alexandria database
Functional: GGA-PBE
Structure: relaxed

Values from the calculation:
**Mass density**: 4.68 g/cm³
**Total DFT energy (no corrections)**: -4.7394 eV per atom
**Energy relative to the elements, uncorrected**: 0.14 eV/atom

Geometry as CIF:
```
data_ZrCrTeI2
_chemical_formula_sum 'Zr1 Cr1 Te1 I2'
_space_group_name_H-M_alt 'P 4/m m m'
_space_group_IT_number 123
_space_group_name_Hall '-P 4 2'
_cell_length_a 5.749
_cell_length_b 5.749
_cell_length_c 5.633
_cell_angle_alpha 90.00
_cell_angle_beta 90.00
_cell_angle_gamma 90.00
loop_
_atom_site_label
_atom_site_type_symbol
_atom_site_fract_x
_atom_site_fract_y
_atom_site_fract_z
_atom_site_occupancy
Zr1 Zr 0.000 0.000 0.000 1
Cr1 Cr 0.500 0.500 0.500 1
Te1 Te 0.000 0.000 0.500 1
I1 I 0.000 0.500 0.000 1
```

(4)
Compound: ThCrI2
Source: the Alexandria database
Functional: GGA-PBE
Structure: relaxed

Values from the calculation:
**Mass density**: 6.72 g/cm³
**Total DFT energy (no corrections)**: -5.0886 eV per atom
**Energy relative to the elements, uncorrected**: -0.05 eV/atom

Geometry as CIF:
```
data_ThCrI2
_chemical_formula_sum 'Th3 Cr3 I6'
_space_group_name_H-M_alt 'R -3 m'
_space_group_IT_number 166
_space_group_name_Hall '-R 3 2"'
_cell_length_a 3.8579
_cell_length_b 3.8579
_cell_length_c 30.9332
_cell_angle_alpha 90.00
_cell_angle_beta 90.00
_cell_angle_gamma 120.00
loop_
_atom_site_label
_atom_site_type_symbol
_atom_site_fract_x
_atom_site_fract_y
_atom_site_fract_z
_atom_site_occupancy
Th1 Th 0.0000 0.0000 0.0000 1
Cr1 Cr 0.0000 0.0000 0.5000 1
I1 I 0.0000 0.0000 0.4089 1
```

(5)
Compound: Ti3CrI
Source: the Alexandria database
Functional: GGA-PBE
Structure: relaxed

Values from the calculation:
**Mass density**: 5.42 g/cm³
**Total DFT energy (no corrections)**: -6.3585 eV per atom
**Energy relative to the elements, uncorrected**: 0.61 eV/atom

Geometry as CIF:
```
data_Ti3CrI
_chemical_formula_sum 'Ti3 Cr1 I1'
_space_group_name_H-M_alt 'P m -3 m'
_space_group_IT_number 221
_space_group_name_Hall '-P 4 2 3'
_cell_length_a 4.623
_cell_length_b 4.623
_cell_length_c 4.623
_cell_angle_alpha 90.00
_cell_angle_beta 90.00
_cell_angle_gamma 90.00
loop_
_atom_site_label
_atom_site_type_symbol
_atom_site_fract_x
_atom_site_fract_y
_atom_site_fract_z
_atom_site_occupancy
Ti1 Ti 0.000 0.000 0.500 1
Cr1 Cr 0.000 0.000 0.000 1
I1 I 0.500 0.500 0.500 1
```

(6)
Compound: TiCrI
Source: the Alexandria database
Functional: GGA-PBE
Structure: relaxed

Values from the calculation:
**Mass density**: 5.13 g/cm³
**Total DFT energy (no corrections)**: -6.4135 eV per atom
**Energy relative to the elements, uncorrected**: -0.06 eV/atom

Geometry as CIF:
```
data_TiCrI
_chemical_formula_sum 'Ti2 Cr2 I2'
_space_group_name_H-M_alt 'P 1 21/m 1'
_space_group_IT_number 11
_cell_length_a 3.851
_cell_length_b 3.845
_cell_length_c 10.091
_cell_angle_alpha 90.00
_cell_angle_beta 100.97
_cell_angle_gamma 90.00
loop_
_space_group_symop_operation_xyz
'x,y,z'
'-x,-y,-z'
'-x,y+1/2,-z'
'x,-y+1/2,z'
loop_
_atom_site_label
_atom_site_type_symbol
_atom_site_fract_x
_atom_site_fract_y
_atom_site_fract_z
_atom_site_occupancy
Ti1 Ti 0.048 0.250 0.097 1
Cr1 Cr 0.451 0.250 0.901 1
I1 I 0.346 0.750 0.690 1
```

(7)
Compound: Ti2CrI8
Source: the Alexandria database
Functional: GGA-PBE
Structure: relaxed

Values from the calculation:
**Mass density**: 3.63 g/cm³
**Total DFT energy (no corrections)**: -3.9891 eV per atom
**Energy relative to the elements, uncorrected**: -0.55 eV/atom

Geometry as CIF:
```
data_Ti2CrI8
_chemical_formula_sum 'Ti4 Cr2 I16'
_space_group_name_H-M_alt 'C 1 2/m 1'
_space_group_IT_number 12
_cell_length_a 13.072
_cell_length_b 11.468
_cell_length_c 7.099
_cell_angle_alpha 90.00
_cell_angle_beta 90.81
_cell_angle_gamma 90.00
loop_
_space_group_symop_operation_xyz
'x,y,z'
'-x,-y,-z'
'-x,y,-z'
'x,-y,z'
'x+1/2,y+1/2,z'
'-x+1/2,-y+1/2,-z'
'-x+1/2,y+1/2,-z'
'x+1/2,-y+1/2,z'
loop_
_atom_site_label
_atom_site_type_symbol
_atom_site_fract_x
_atom_site_fract_y
_atom_site_fract_z
_atom_site_occupancy
Ti1 Ti 0.196 0.000 0.335 1
Cr1 Cr 0.000 0.000 0.000 1
I1 I 0.100 0.183 0.195 1
I2 I 0.115 0.500 0.765 1
I3 I 0.184 0.000 0.701 1
```

(8)
Compound: TiCrI3
Source: the Alexandria database
Functional: GGA-PBE
Structure: relaxed

Values from the calculation:
**Mass density**: 4.70 g/cm³
**Total DFT energy (no corrections)**: -3.9118 eV per atom
**Energy relative to the elements, uncorrected**: 0.52 eV/atom

Geometry as CIF:
```
data_TiCrI3
_chemical_formula_sum 'Ti1 Cr1 I3'
_space_group_name_H-M_alt 'P m -3 m'
_space_group_IT_number 221
_space_group_name_Hall '-P 4 2 3'
_cell_length_a 5.537
_cell_length_b 5.537
_cell_length_c 5.537
_cell_angle_alpha 90.00
_cell_angle_beta 90.00
_cell_angle_gamma 90.00
loop_
_atom_site_label
_atom_site_type_symbol
_atom_site_fract_x
_atom_site_fract_y
_atom_site_fract_z
_atom_site_occupancy
Ti1 Ti 0.000 0.000 0.000 1
Cr1 Cr 0.500 0.500 0.500 1
I1 I 0.000 0.500 0.500 1
```

(9)
Compound: TiCrI2
Source: the Alexandria database
Functional: GGA-PBE
Structure: relaxed

Values from the calculation:
**Mass density**: 4.23 g/cm³
**Total DFT energy (no corrections)**: -4.7527 eV per atom
**Energy relative to the elements, uncorrected**: 0.40 eV/atom

Geometry as CIF:
```
data_TiCrI2
_chemical_formula_sum 'Ti4 Cr4 I8'
_space_group_name_H-M_alt 'I -4 2 d'
_space_group_IT_number 122
_space_group_name_Hall 'I -4 2bw'
_cell_length_a 6.742
_cell_length_b 6.742
_cell_length_c 12.216
_cell_angle_alpha 90.00
_cell_angle_beta 90.00
_cell_angle_gamma 90.00
loop_
_atom_site_label
_atom_site_type_symbol
_atom_site_fract_x
_atom_site_fract_y
_atom_site_fract_z
_atom_site_occupancy
Ti1 Ti 0.000 0.000 0.000 1
Cr1 Cr 0.000 0.000 0.500 1
I1 I 0.250 0.250 0.125 1
```

(10)
Compound: TiCrI2
Source: the Alexandria database
Functional: GGA-PBE
Structure: relaxed

Values from the calculation:
**Mass density**: 6.47 g/cm³
**Total DFT energy (no corrections)**: -4.7569 eV per atom
**Energy relative to the elements, uncorrected**: 0.40 eV/atom

Geometry as CIF:
```
data_TiCrI2
_chemical_formula_sum 'Ti4 Cr4 I8'
_space_group_name_H-M_alt 'F m -3 m'
_space_group_IT_number 225
_space_group_name_Hall '-F 4 2 3'
_cell_length_a 7.135
_cell_length_b 7.135
_cell_length_c 7.135
_cell_angle_alpha 90.00
_cell_angle_beta 90.00
_cell_angle_gamma 90.00
loop_
_atom_site_label
_atom_site_type_symbol
_atom_site_fract_x
_atom_site_fract_y
_atom_site_fract_z
_atom_site_occupancy
Ti1 Ti 0.000 0.000 0.000 1
Cr1 Cr 0.000 0.000 0.500 1
I1 I 0.250 0.250 0.250 1
```

(11)
Compound: TiCr2I
Source: the Alexandria database
Functional: GGA-PBE
Structure: relaxed

Values from the calculation:
**Mass density**: 7.95 g/cm³
**Total DFT energy (no corrections)**: -6.4816 eV per atom
**Energy relative to the elements, uncorrected**: 0.69 eV/atom

Geometry as CIF:
```
data_TiCr2I
_chemical_formula_sum 'Ti4 Cr8 I4'
_space_group_name_H-M_alt 'F m -3 m'
_space_group_IT_number 225
_space_group_name_Hall '-F 4 2 3'
_cell_length_a 6.152
_cell_length_b 6.152
_cell_length_c 6.152
_cell_angle_alpha 90.00
_cell_angle_beta 90.00
_cell_angle_gamma 90.00
loop_
_atom_site_label
_atom_site_type_symbol
_atom_site_fract_x
_atom_site_fract_y
_atom_site_fract_z
_atom_site_occupancy
Ti1 Ti 0.000 0.000 0.000 1
Cr1 Cr 0.250 0.250 0.250 1
I1 I 0.000 0.000 0.500 1
```

(12)
Compound: TiCr2I
Source: the Alexandria database
Functional: GGA-PBE
Structure: relaxed

Values from the calculation:
**Mass density**: 6.64 g/cm³
**Total DFT energy (no corrections)**: -6.1698 eV per atom
**Energy relative to the elements, uncorrected**: 1.00 eV/atom

Geometry as CIF:
```
data_TiCr2I
_chemical_formula_sum 'Ti4 Cr8 I4'
_space_group_name_H-M_alt 'I -4 2 d'
_space_group_IT_number 122
_space_group_name_Hall 'I -4 2bw'
_cell_length_a 3.869
_cell_length_b 3.869
_cell_length_c 18.636
_cell_angle_alpha 90.00
_cell_angle_beta 90.00
_cell_angle_gamma 90.00
loop_
_atom_site_label
_atom_site_type_symbol
_atom_site_fract_x
_atom_site_fract_y
_atom_site_fract_z
_atom_site_occupancy
Ti1 Ti 0.000 0.000 0.000 1
Cr1 Cr 0.180 0.250 0.125 1
I1 I 0.000 0.000 0.500 1
```